Entry 1:
An optimized crystal structure of AsPS2F. Source: the Alexandria database, functional GGA-PBE.

The calculation puts the polymorph energy (0 for the lowest one) at 28.5 meV per atom. The value obtained for the total energy is -3.2677 eV/atom.

It has space group P4/mmm (No. 123), with a = 4.9996 Å, b = 4.9996 Å, c = 3.6166 Å, α = 90.00°, β = 90.00° and γ = 90.00°. The asymmetric unit holds As at (0.0000, 0.0000, 0.0000), P at (0.5000, 0.5000, 0.0000), S at (0.0000, 0.5000, 0.5000) and F at (0.5000, 0.5000, 0.5000).

---

Entry 2:
An optimized crystal structure of CaRh. Source: the Alexandria database, functional GGA-PBE.

The value obtained for the total energy is -4.9215 eV/atom.

It has space group R-3m (No. 166, hexagonal axes), with a = 4.5466 Å, b = 4.5466 Å, c = 14.9294 Å, α = 90.00°, β = 90.00° and γ = 120.00°. The asymmetric unit holds Ca at (0.0000, 0.0000, 0.1042) and Rh at (0.0000, 0.0000, 0.3295).

---

Entry 3:
An optimized crystal structure of Ta2BeZn. Source: the Alexandria database, functional GGA-PBE.

The calculation puts the polymorph energy (0 for the lowest one) at 76.2 meV per atom. The value obtained for the total energy is -7.1074 eV/atom.

It has space group Cm (No. 8), with a = 10.0502 Å, b = 2.9104 Å, c = 4.5653 Å, α = 90.00°, β = 116.97° and γ = 90.00°. The asymmetric unit holds Ta at (0.0000, 0.0000, 0.0000), Ta at (0.2193, 0.0000, 0.7184), Be at (0.2435, 0.5000, 0.2418) and Zn at (0.4454, 0.0000, 0.4455).

---

Entry 4:
An optimized crystal structure of LaBeCo2. Source: the Alexandria database, functional GGA-PBE.

The value obtained for the total energy is -5.2215 eV/atom.

It has space group F-43m (No. 216), with a = 6.3938 Å, b = 6.3938 Å, c = 6.3938 Å, α = 90.00°, β = 90.00° and γ = 90.00°. The asymmetric unit holds La at (0.0000, 0.0000, 0.0000), Be at (0.2500, 0.2500, 0.7500), Co at (0.0000, 0.0000, 0.5000) and Co at (0.2500, 0.2500, 0.2500).